VASP calculation (PBE with a Hubbard U) on an optimized crystal structure of MgFeBrF2.

Calculated values
space group: P4/mmm, No. 123
electronic total energy: -2.713 eV/atom
spin magnetization: 5.0 Bohr magnetons per cell

a b c (Å): 5.539 4.485 5.539
angles (deg): 90.00 90.00 90.00
Last column: magnetic moment on the atom in μB.
Atoms (fractional coordinates):
1 F 0.000 0.000 0.500  -0.16
2 F 0.500 0.000 0.000  -0.11
3 Mg 0.000 0.500 0.000  0.01
4 Br 0.000 0.000 0.000  -0.06
5 Fe 0.500 0.500 0.500  -4.11